A plane-wave DFT calculation with GGA+U was carried out for an optimized crystal structure of OsRuW2F.

Lattice parameters (Å, degrees): 5.167 5.167 4.565 90.00 90.00 90.00
Element x y z (fractional)
1 Os 0.000 0.000 0.000
2 Ru 0.000 0.000 0.500
3 W 0.000 0.500 0.500
4 W 0.500 0.000 0.500
5 F 0.500 0.500 0.000

Summary:
total DFT energy (no corrections): -5.4735 eV/atom
volume: 24.370 Å³/atom
total magnetic moment: 4.8 μB/f.u.